A plane-wave DFT calculation with PBEsol was carried out for an optimized crystal structure of ScMoAu2.

The magnetic moment is 0.00 Bohr magnetons per cell. The energy of formation from the pure elements is -14.4 kJ/mol of atoms. The calculation puts the calculated volume at 67.89 Å³ per cell. The calculation puts the density at 13.08 g/cm3.

Lattice parameters (Å, degrees): 2.909 2.909 8.020 90.00 90.00 90.00
Space group P4/mmm (No. 123)
Asymmetric unit:
Sc (0.000, 0.000, 0.000)
Mo (0.000, 0.000, 0.500)
Au (0.500, 0.500, 0.256)